A relaxed TbDy2Y2Ho crystal. Source: Alexandria via LeMat-Bulk, functional PBE.

Output
V in Å³/f.u.: 196
Symmetry: Pnnm, No. 58
E_form in eV per atom: 0.27

Lattice parameters (Å, degrees): 6.5469 17.6888 3.3781 90.00 90.00 90.00
Closest atoms and distances in Å follow each position.
Sites, in units of the cell vectors:
1 Tb 0.0000 0.0000 0.0000  2 Tb 3.38, 4 Dy 3.44, 4 Ho 3.68
2 Tb 0.5000 0.5000 0.5000  2 Tb 3.38, 4 Dy 3.44, 4 Ho 3.68
3 Dy 0.2302 0.1468 0.5000  1 Ho 3.14, 4 Y 3.33-3.44, 2 Dy 3.38, 2 Tb 3.44
4 Dy 0.2698 0.6468 0.0000  1 Ho 3.14, 4 Y 3.33-3.44, 2 Dy 3.38, 2 Tb 3.44
5 Dy 0.7302 0.3532 0.0000  1 Ho 3.14, 4 Y 3.33-3.44, 2 Dy 3.38, 2 Tb 3.44
6 Dy 0.7698 0.8532 0.5000  1 Ho 3.14, 4 Y 3.33-3.44, 2 Dy 3.38, 2 Tb 3.44
7 Y 0.2318 0.3163 0.0000  4 Dy 3.33-3.44, 2 Y 3.38, 1 Ho 3.59
8 Y 0.2682 0.8163 0.5000  4 Dy 3.33-3.44, 2 Y 3.38, 1 Ho 3.59
9 Y 0.7318 0.1837 0.5000  4 Dy 3.33-3.44, 2 Y 3.38, 1 Ho 3.59
10 Y 0.7682 0.6837 0.0000  4 Dy 3.33-3.44, 2 Y 3.38, 1 Ho 3.59
11 Ho 0.0000 0.5000 0.0000  2 Dy 3.14, 2 Ho 3.38
12 Ho 0.5000 0.0000 0.5000  2 Dy 3.14, 2 Ho 3.38